1 | Computed, not measured: a relaxed HPdRu crystal at the GGA-PBE level of DFT.

Its spin magnetization is 0.000 μB/atom.

The structure belongs to space group P4mm (No. 99); the cell edges are 2.800, 2.800 and 8.071 Å and the angles 90.00°, 90.00° and 90.00°. The distinct sites, in fractional coordinates, are H at (0.000, 0.000, 0.000), H at (0.500, 0.500, 0.200), Pd at (0.000, 0.000, 0.247), Pd at (0.500, 0.500, 0.507), Ru at (0.000, 0.000, 0.745) and Ru at (0.500, 0.500, 0.965).

=====

2 | Computed, not measured: a relaxed HPdRu crystal at the GGA-PBE level of DFT.

Its spin magnetization is 0.000 μB/atom.

The structure belongs to space group Cm (No. 8); the cell edges are 16.726, 2.778 and 2.790 Å and the angles 90.00°, 90.53° and 90.00°. The distinct sites, in fractional coordinates, are H at (0.000, 0.000, 0.000), H at (0.211, 0.500, 0.368), Pd at (0.065, 0.500, 0.361), Pd at (0.195, 0.000, 0.863), Ru at (0.323, 0.500, 0.370) and Ru at (0.423, 0.000, 0.879).

=====

3 | Computed, not measured: a relaxed HPdRu crystal at the GGA-PBE level of DFT.

Its spin magnetization is 0.000 μB/atom.

The structure belongs to space group C2/m (No. 12); the cell edges are 4.890, 2.827 and 9.640 Å and the angles 90.00°, 99.78° and 90.00°. The distinct sites, in fractional coordinates, are H at (0.144, 0.000, 0.431), Pd at (0.217, 0.000, 0.651) and Ru at (0.133, 0.500, 0.897).

=====

What should be chosen as the least stable of them? Choose 3.

=====

1 | Computed, not measured: a relaxed ScHPdRu2 crystal at the GGA-PBE level of DFT.

Its spin magnetization is 0.000 μB/atom.

The structure belongs to space group P4/mmm (No. 123); the cell edges are 3.909, 3.909 and 4.176 Å and the angles 90.00°, 90.00° and 90.00°. The distinct sites, in fractional coordinates, are Sc at (0.000, 0.000, 0.000), H at (0.000, 0.000, 0.500), Pd at (0.500, 0.500, 0.000) and Ru at (0.000, 0.500, 0.500).

=====

2 | Computed, not measured: a relaxed ScHPdRu2 crystal at the GGA-PBE level of DFT.

Its spin magnetization is 0.000 μB/atom.

The structure belongs to space group P4/mmm (No. 123); the cell edges are 3.967, 3.967 and 4.061 Å and the angles 90.00°, 90.00° and 90.00°. The distinct sites, in fractional coordinates, are Sc at (0.000, 0.000, 0.000), H at (0.500, 0.500, 0.500), Pd at (0.500, 0.500, 0.000) and Ru at (0.000, 0.500, 0.500).

=====

What should be chosen as the least stable of them? Choose 2.